(1)
A plane-wave DFT calculation with PBE-GGA was carried out for a geometry-optimized Zr4GaGeC2 structure.

Theoretical density in g/cm3: 6.5
Symmetry: P-6m2, No. 187
Total magnetization in μB/atom: 0.00
Crystal system: hexagonal
DFT total energy in eV per atom: -8.3041

POSCAR file:
```
Zr4GaGeC2
1.0
3.3402 0.0000 0.0000
-1.6701 2.8927 0.0000
0.0000 0.0000 14.0081
C Ga Ge Zr
2 1 1 4
direct
0.6667 0.3333 0.2481
0.6667 0.3333 0.7519
0.0000 0.0000 0.5000
0.3333 0.6667 0.0000
0.0000 0.0000 0.1569
0.3333 0.6667 0.3382
0.3333 0.6667 0.6618
0.0000 0.0000 0.8431
```

(2)
A plane-wave DFT calculation with PBE-GGA was carried out for a geometry-optimized HfGa2C structure.

Theoretical density in g/cm3: 8.9
Symmetry: P6_3/mmc, No. 194
Total magnetization in μB/atom: 0.00
Crystal system: hexagonal
DFT total energy in eV per atom: -5.8057

POSCAR file:
```
HfGa2C
1.0
-2.5643 -1.8520 -0.3716
1.8168 0.7272 -2.5128
7.8358 -11.3287 2.3871
C Ga Hf
2 4 2
direct
0.0000 0.0000 0.0000
0.0000 0.0000 0.5000
0.3333 0.6667 0.0799
0.3333 0.6667 0.4201
0.6667 0.3333 0.5799
0.6667 0.3333 0.9201
0.6667 0.3333 0.2500
0.3333 0.6667 0.7500
```

(3)
A plane-wave DFT calculation with PBE-GGA was carried out for a geometry-optimized Hf3GaC structure.

Theoretical density in g/cm3: 12.0
Symmetry: Cmcm, No. 63
Total magnetization in μB/atom: 0.00
Crystal system: orthorhombic
DFT total energy in eV per atom: -9.1077

POSCAR file:
```
Hf3GaC
1.0
1.6886 -5.6947 0.0000
1.6886 5.6947 0.0000
0.0000 0.0000 8.9044
C Ga Hf
2 2 6
direct
0.0000 0.0000 0.0000
0.0000 0.0000 0.5000
0.2523 0.7477 0.2500
0.7477 0.2523 0.7500
0.6286 0.3714 0.0460
0.9530 0.0470 0.2500
0.6286 0.3714 0.4540
0.3714 0.6286 0.5460
0.0470 0.9530 0.7500
0.3714 0.6286 0.9540
```

(4)
A plane-wave DFT calculation with PBE-GGA was carried out for a geometry-optimized Lu4Hf2Ga3C3 structure.

Theoretical density in g/cm3: 9.8
Symmetry: C2/c, No. 15
Total magnetization in μB/atom: 0.00
Crystal system: monoclinic
DFT total energy in eV per atom: -6.8266

POSCAR file:
```
Lu4Hf2Ga3C3
1.0
-5.9284 -0.1590 -0.1324
-2.9203 -4.2540 2.9263
2.5738 9.9437 10.7817
C Ga Hf Lu
6 6 4 8
direct
0.0000 0.5000 0.0000
0.3419 0.8163 0.0001
0.1837 0.6581 0.4999
0.5000 0.0000 0.5000
0.8163 0.3419 0.5001
0.6581 0.1837 0.9999
0.4171 0.3144 0.2500
0.1473 0.8527 0.2500
0.6856 0.5829 0.2500
0.3144 0.4171 0.7500
0.8527 0.1473 0.7500
0.5829 0.6856 0.7500
0.3543 0.5267 0.0788
0.4733 0.6457 0.4212
0.5267 0.3543 0.5788
0.6457 0.4733 0.9212
0.0379 0.1953 0.0970
0.6992 0.8722 0.0972
0.1278 0.3008 0.4028
0.8047 0.9621 0.4030
0.1953 0.0379 0.5970
0.8722 0.6992 0.5972
0.3008 0.1278 0.9028
0.9621 0.8047 0.9030
```

(5)
A plane-wave DFT calculation with PBE-GGA was carried out for a geometry-optimized Hf4Ga2CN structure.

Theoretical density in g/cm3: 11.5
Symmetry: P-3m1, No. 164
Total magnetization in μB/atom: 0.00
Crystal system: trigonal
DFT total energy in eV per atom: -8.8841

POSCAR file:
```
Hf4Ga2CN
1.0
-0.8655 1.6326 2.6804
-1.4042 -2.8546 -0.6919
9.8677 -6.6009 7.2066
C Ga Hf N
1 2 4 1
direct
0.0000 0.0000 0.0000
0.6667 0.3333 0.2516
0.3333 0.6667 0.7484
0.3333 0.6667 0.0902
0.3333 0.6667 0.4109
0.6667 0.3333 0.5891
0.6667 0.3333 0.9098
0.0000 0.0000 0.5000
```

(6)
A plane-wave DFT calculation with PBE-GGA was carried out for a geometry-optimized Hf8Ga2C3N3 structure.

Theoretical density in g/cm3: 12.2
Symmetry: P-3m1, No. 164
Total magnetization in μB/atom: 0.00
Crystal system: trigonal
DFT total energy in eV per atom: -9.8064

POSCAR file:
```
Hf8Ga2C3N3
1.0
3.2599 0.0000 0.0000
-1.6299 2.8231 0.0000
0.0000 0.0000 24.3104
C Ga Hf N
3 2 8 3
direct
0.3333 0.6667 0.3874
0.0000 0.0000 0.5000
0.6667 0.3333 0.6126
0.6667 0.3333 0.2472
0.3333 0.6667 0.7528
0.6667 0.3333 0.0547
0.0000 0.0000 0.1569
0.0000 0.0000 0.3394
0.6667 0.3333 0.4466
0.3333 0.6667 0.5534
0.0000 0.0000 0.6606
0.0000 0.0000 0.8431
0.3333 0.6667 0.9453
0.0000 0.0000 0.0000
0.3333 0.6667 0.1060
0.6667 0.3333 0.8940
```

(7)
A plane-wave DFT calculation with PBE-GGA was carried out for a geometry-optimized Hf3GaCN structure.

Theoretical density in g/cm3: 11.9
Symmetry: P-3m1, No. 164
Total magnetization in μB/atom: 0.00
Crystal system: trigonal
DFT total energy in eV per atom: -9.4914

POSCAR file:
```
Hf3GaCN
1.0
3.2565 0.0000 0.0000
-1.6283 2.8202 0.0000
0.0000 0.0000 19.1131
C Ga Hf N
2 2 6 2
direct
0.6667 0.3333 0.4272
0.3333 0.6667 0.5728
0.0000 0.0000 0.2479
0.0000 0.0000 0.7521
0.0000 0.0000 0.0000
0.3333 0.6667 0.1335
0.3333 0.6667 0.3654
0.0000 0.0000 0.5000
0.6667 0.3333 0.6346
0.6667 0.3333 0.8665
0.6667 0.3333 0.0676
0.3333 0.6667 0.9324
```

(8)
A plane-wave DFT calculation with PBE-GGA was carried out for a geometry-optimized Hf2Nb4Ga3C3 structure.

Theoretical density in g/cm3: 8.9
Symmetry: C2/c, No. 15
Total magnetization in μB/atom: 0.00
Crystal system: monoclinic
DFT total energy in eV per atom: -8.7102

POSCAR file:
```
Hf2Nb4Ga3C3
1.0
-1.1077 -3.6418 3.9817
-0.5857 -5.3356 -1.2374
14.1060 1.0587 1.0673
C Ga Hf Nb
6 6 4 8
direct
0.5000 0.0000 0.0000
0.8321 0.3341 0.0000
0.1679 0.6659 0.0000
0.3341 0.8321 0.5000
0.0000 0.5000 0.5000
0.6659 0.1679 0.5000
0.2164 0.4163 0.2492
0.9490 0.0510 0.2500
0.5837 0.7836 0.2508
0.4163 0.2164 0.7492
0.0510 0.9490 0.7500
0.7836 0.5837 0.7508
0.5326 0.3681 0.0968
0.6319 0.4674 0.4032
0.3681 0.5326 0.5968
0.4674 0.6319 0.9032
0.1983 0.0262 0.0867
0.8598 0.6957 0.0867
0.3043 0.1402 0.4133
0.9738 0.8017 0.4133
0.0262 0.1983 0.5867
0.6957 0.8598 0.5867
0.1402 0.3043 0.9133
0.8017 0.9738 0.9133
```

(9)
A plane-wave DFT calculation with PBE-GGA was carried out for a geometry-optimized Hf4GaNiC2 structure.

Theoretical density in g/cm3: 11.5
Symmetry: P-6m2, No. 187
Total magnetization in μB/atom: 0.00
Crystal system: hexagonal
DFT total energy in eV per atom: -9.0153

POSCAR file:
```
Hf4GaNiC2
1.0
3.2641 0.0000 0.0000
-1.6321 2.8268 0.0000
0.0000 0.0000 13.5239
C Ga Hf Ni
2 1 4 1
direct
0.3333 0.6667 0.2578
0.3333 0.6667 0.7422
0.0000 0.0000 0.0000
0.6667 0.3333 0.1673
0.0000 0.0000 0.3582
0.0000 0.0000 0.6418
0.6667 0.3333 0.8327
0.6667 0.3333 0.5000
```

(10)
A plane-wave DFT calculation with PBE-GGA was carried out for a geometry-optimized Hf4GaC2Se structure.

Theoretical density in g/cm3: 11.4
Symmetry: P-6m2, No. 187
Total magnetization in μB/atom: 0.00
Crystal system: hexagonal
DFT total energy in eV per atom: -9.0617

POSCAR file:
```
Hf4GaC2Se
1.0
3.3594 0.0000 0.0000
-1.6797 2.9093 0.0000
0.0000 0.0000 13.2495
C Ga Hf Se
2 1 4 1
direct
0.3333 0.6667 0.2607
0.3333 0.6667 0.7393
0.0000 0.0000 0.0000
0.6667 0.3333 0.1690
0.0000 0.0000 0.3526
0.0000 0.0000 0.6474
0.6667 0.3333 0.8310
0.6667 0.3333 0.5000
```

(11)
A plane-wave DFT calculation with PBE-GGA was carried out for a geometry-optimized Hf2Ta4Ga3C3 structure.

Theoretical density in g/cm3: 12.3
Symmetry: C2/c, No. 15
Total magnetization in μB/atom: 0.00
Crystal system: monoclinic
DFT total energy in eV per atom: -9.3100

POSCAR file:
```
Hf2Ta4Ga3C3
1.0
4.7455 -2.7397 0.0000
4.7455 2.7397 0.0000
-3.1876 0.0000 13.7797
C Ga Hf Ta
6 6 4 8
direct
0.5000 0.0000 0.0000
0.8348 0.3327 0.0000
0.1652 0.6673 0.0000
0.3327 0.8348 0.5000
0.0000 0.5000 0.5000
0.6673 0.1652 0.5000
0.2131 0.4166 0.2488
0.9525 0.0475 0.2500
0.5834 0.7869 0.2512
0.4166 0.2131 0.7488
0.0475 0.9525 0.7500
0.7869 0.5834 0.7512
0.5333 0.3697 0.0981
0.6303 0.4667 0.4019
0.3697 0.5333 0.5981
0.4667 0.6303 0.9019
0.1998 0.0251 0.0866
0.8587 0.6959 0.0866
0.3041 0.1413 0.4134
0.9749 0.8002 0.4134
0.0251 0.1998 0.5866
0.6959 0.8587 0.5866
0.1413 0.3041 0.9134
0.8002 0.9749 0.9134
```

(12)
A plane-wave DFT calculation with PBE-GGA was carried out for a geometry-optimized Hf4TlGaC2 structure.

Theoretical density in g/cm3: 12.2
Symmetry: P-6m2, No. 187
Total magnetization in μB/atom: 0.00
Crystal system: hexagonal
DFT total energy in eV per atom: -8.6553

POSCAR file:
```
Hf4TlGaC2
1.0
-2.7401 1.2887 -1.3497
2.4889 -1.0081 -1.9440
-5.8669 -13.1816 -0.6758
C Ga Hf Tl
2 1 4 1
direct
0.3333 0.6667 0.2577
0.3333 0.6667 0.7423
0.6667 0.3333 0.5000
0.6667 0.3333 0.1741
0.0000 0.0000 0.3439
0.0000 0.0000 0.6561
0.6667 0.3333 0.8259
0.0000 0.0000 0.0000
```